CsNi2OsF | Alexandria | GGA+U | relaxed; E_tot = -2.5437 eV per atom; symmetry = P4/mmm, No. 123; N(E_F) = 2.5 states/eV per cell
1.0
-0.871 3.636 -3.383
-0.937 -2.784 -2.750
-4.825 0.192 1.449
Os Cs Ni F
1 1 2 1
direct
0.000 0.500 0.000
0.500 0.500 0.500
0.500 0.000 0.000
0.000 0.000 0.500
0.000 0.000 0.000